Entry 1:
Entry from Alexandria: a geometry-optimized NaZnF3 structure (PBE).

**Raw formation energy**: -2.513 eV per atom
**M_tot**: 0.0 μB/f.u.
**DFT total energy**: -4.1545 eV per atom
**Density**: 3.93 g cm⁻³

Cell lengths 5.680, 7.885, 5.484 Å; angles 90.00, 90.00, 90.00 degrees
Space group Pnma (No. 62)
Asymmetric unit:
Na 0.057 0.250 0.016
Zn 0.000 0.000 0.500
F 0.040 0.750 0.392
F 0.201 0.557 0.803



Entry 2:
Entry from Alexandria: a geometry-optimized Re2MoW6 structure (PBE).

**M_tot**: 0.0 μB/f.u.
**DFT total energy**: -12.1350 eV per atom
**ΔE_f**: 10.8 kcal/mol of atoms
**Density**: 17.12 g cm⁻³

Cell lengths 12.658, 4.494, 5.416 Å; angles 90.00, 98.31, 90.00 degrees
Space group C2/m (No. 12)
Asymmetric unit:
Re 0.102 0.000 0.481
Mo 0.000 0.000 0.000
W 0.002 0.500 0.745
W 0.195 0.500 0.142
W 0.206 0.500 0.661



Entry 3:
Entry from Alexandria: a geometry-optimized Li3Br structure (PBE).

**Raw formation energy**: -0.356 eV per atom
**M_tot**: 0.8 μB/f.u.
**DFT total energy**: -2.2100 eV per atom
**Density**: 1.88 g cm⁻³

Cell lengths 9.4730, 9.4730, 3.4329 Å; angles 90.00, 90.00, 120.00 degrees
Space group R-3m (No. 166, hexagonal axes)
Asymmetric unit:
Li 0.0000 0.5000 0.0000
Br 0.0000 0.0000 0.0000



Entry 4:
Entry from Alexandria: a geometry-optimized Li2ThScTl4 structure (PBE).

**M_tot**: 0.0 μB/f.u.
**DFT total energy**: -3.5586 eV per atom
**ΔE_f**: -4.1 kcal/mol of atoms
**Density**: 9.43 g cm⁻³

Cell lengths 4.9637, 4.9637, 27.4529 Å; angles 90.00, 90.00, 120.00 degrees
Space group R-3m (No. 166, hexagonal axes)
Asymmetric unit:
Li 0.0000 0.0000 0.2428
Th 0.0000 0.0000 0.0000
Sc 0.0000 0.0000 0.5000
Tl 0.0000 0.0000 0.1258
Tl 0.0000 0.0000 0.3883